Entry 1:
Density functional theory data (PBE) for TcPd6Pt after structural relaxation.

## Properties
**Formation energy from the elements**: 0.035 eV per atom

a = 4.5332 Å, b = 5.5614 Å, c = 9.6733 Å
α = 90.00°, β = 90.00°, γ = 90.00°
Closest atoms and distances in Å follow each position.
Space group Amm2 (No. 38)
Unique sites:
Tc1 0.0000 0.0000 0.0000 x2  2 Pt 2.73, 10 Pd 2.77-2.79
Pd1 0.0000 0.0000 0.5013 x2  10 Pd 2.77-2.80, 2 Tc 2.78
Pd2 0.0000 0.2494 0.7504 x4  8 Pd 2.77-2.80, 2 Tc 2.78-2.79, 2 Pt 2.80
Pd3 0.5000 0.0000 0.3365 x2  10 Pd 2.77-2.79, 2 Pt 2.78
Pd4 0.5000 0.2456 0.0855 x4  2 Pt 2.72-2.86, 8 Pd 2.73-2.83, 2 Tc 2.77
Pt1 0.5000 0.0000 0.8423 x2  10 Pd 2.72-2.86, 2 Tc 2.73

=====

Entry 2:
Density functional theory data (PBE) for Tc2PdPt6 after structural relaxation.

## Properties
**Formation energy from the elements**: -0.055 eV per atom

a = 2.7903 Å, b = 2.7903 Å, c = 20.7233 Å
α = 90.00°, β = 90.00°, γ = 120.00°
Closest atoms and distances in Å follow each position.
Space group P-6m2 (No. 187)
Unique sites:
Tc1 0.0000 0.0000 0.1686 x2  6 Pt 2.69-2.70, 6 Tc 2.79
Pd1 0.6667 0.3333 0.5000 x1  6 Pd 2.79, 6 Pt 2.84
Pt1 0.0000 0.0000 0.3873 x2  9 Pt 2.79-2.87, 3 Pd 2.84
Pt2 0.6667 0.3333 0.0643 x2  7 Pt 2.66-2.79, 3 Tc 2.70
Pt3 0.6667 0.3333 0.2726 x2  3 Tc 2.69, 9 Pt 2.79-2.87

=====

Entry 3:
Density functional theory data (PBE) for TcPd2Pt9 after structural relaxation.

## Properties
**Formation energy from the elements**: -0.062 eV per atom

a = 3.9506 Å, b = 3.9506 Å, c = 11.8885 Å
α = 90.00°, β = 90.00°, γ = 90.00°
Closest atoms and distances in Å follow each position.
Space group P4/mmm (No. 123)
Unique sites:
Tc1 0.0000 0.0000 0.0000 x1  12 Pt 2.76-2.79
Pd1 0.0000 0.0000 0.3310 x2  12 Pt 2.79-2.82
Pt1 0.0000 0.5000 0.1617 x4  2 Tc 2.76, 8 Pt 2.76-2.83, 2 Pd 2.82
Pt2 0.0000 0.5000 0.5000 x2  8 Pt 2.79-2.81, 4 Pd 2.82
Pt3 0.5000 0.5000 0.0000 x1  8 Pt 2.76, 4 Tc 2.79
Pt4 0.5000 0.5000 0.3321 x2  4 Pd 2.79, 8 Pt 2.81-2.83

=====

Entry 4:
Density functional theory data (PBE) for TcPdPt after structural relaxation.

## Properties
**Formation energy from the elements**: -0.137 eV per atom
**Energy relative to the lowest polymorph listed for this composition**: 0 meV per atom

a = 2.7560 Å, b = 2.7560 Å, c = 11.9440 Å
α = 90.00°, β = 90.00°, γ = 90.00°
Closest atoms and distances in Å follow each position.
Space group P4/nmm (No. 129, origin choice 2)
Unique sites:
Tc1 0.2500 0.2500 0.0757 x2  8 Tc 2.66-2.76, 4 Pt 2.78
Pd1 0.2500 0.2500 0.4141 x2  8 Pd 2.76-2.83, 4 Pt 2.84
Pt1 0.2500 0.2500 0.7584 x2  4 Pt 2.76, 4 Tc 2.78, 4 Pd 2.84

=====

Entry 5:
Density functional theory data (PBE) for TcPd6Pt2 after structural relaxation.

## Properties
**Formation energy from the elements**: 0.048 eV per atom

a = 2.7692 Å, b = 2.7692 Å, c = 21.0089 Å
α = 90.00°, β = 90.00°, γ = 120.00°
Closest atoms and distances in Å follow each position.
Space group P-6m2 (No. 187)
Unique sites:
Tc1 0.0000 0.0000 0.0000 x1  6 Pd 2.69, 6 Tc 2.77
Pd1 0.0000 0.0000 0.2146 x2  9 Pd 2.77-2.83, 3 Pt 2.85
Pd2 0.0000 0.0000 0.4385 x2  7 Pd 2.59-2.77, 3 Pt 2.84
Pd3 0.3333 0.6667 0.1032 x2  3 Tc 2.69, 9 Pd 2.77-2.83
Pt1 0.3333 0.6667 0.3267 x2  6 Pt 2.77, 6 Pd 2.84-2.85

=====

Entry 6:
Density functional theory data (PBE) for Te6Pd2Pt after structural relaxation.

## Properties
**ΔE_f (raw)**: -0.31 eV/atom

a = 18.0048 Å, b = 4.1371 Å, c = 6.8814 Å
α = 90.00°, β = 98.79°, γ = 90.00°
Closest atoms and distances in Å follow each position.
Space group C2/m (No. 12)
Unique sites:
Te1 0.0162 0.0000 0.2595 x4  1 Pd 2.69, 2 Pt 2.72
Te2 0.1518 0.5000 0.0619 x4  1 Pt 2.70, 2 Pd 2.75
Te3 0.1813 0.5000 0.5944 x4  3 Pd 2.70-2.75
Pd1 0.1673 0.0000 0.3281 x4  6 Te 2.69-2.75
Pt1 0.0000 0.5000 0.0000 x2  6 Te 2.70-2.72